# 1
{
  "formula": "Y2HgPb3",
  "functional": "PBE-GGA",
  "state": "relaxed",
  "lattice": [[4.5620, 0.0000, 0.0000], [0.0000, 15.6339, 0.0000], [0.0000, 0.0000, 4.6423]],
  "species": ["Y", "Y", "Y", "Y", "Hg", "Hg", "Pb", "Pb", "Pb", "Pb", "Pb", "Pb"],
  "fractional_positions": [[0.0000, 0.1498, 0.0000], [0.0000, 0.8502, 0.0000], [0.5000, 0.3502, 0.0000], [0.5000, 0.6498, 0.0000], [0.0000, 0.0000, 0.5000], [0.5000, 0.5000, 0.5000], [0.0000, 0.3256, 0.5000], [0.0000, 0.5000, 0.0000], [0.0000, 0.6744, 0.5000], [0.5000, 0.0000, 0.0000], [0.5000, 0.1744, 0.5000], [0.5000, 0.8256, 0.5000]],
  "spacegroup": "Cmmm (65)",
  "total_magnetization_mub_per_atom": 0.00,
  "e_tot_ev_per_atom": -4.480,
  "formation_energy_ev_per_atom": -0.421
}


# 2
{
  "formula": "CdSb2Ir",
  "functional": "PBE-GGA",
  "state": "relaxed",
  "lattice": [[6.0636, 0.0000, 0.0000], [0.0000, 8.0745, 0.0000], [-0.0100, 0.0000, 3.5047]],
  "species": ["Cd", "Cd", "Sb", "Sb", "Sb", "Sb", "Ir", "Ir"],
  "fractional_positions": [[0.0000, 0.0000, 0.0000], [0.5000, 0.5000, 0.0000], [0.2500, 0.2500, 0.5000], [0.2500, 0.7500, 0.5000], [0.7500, 0.2500, 0.5000], [0.7500, 0.7500, 0.5000], [0.0000, 0.5000, 0.0000], [0.5000, 0.0000, 0.0000]],
  "spacegroup": "C2/m (12)",
  "total_magnetization_mub_per_atom": 0.00,
  "formation_energy_uncorrected_kj_per_mol_fu": 127,
  "de_polymorph_kj_per_mol_atoms": 37.6,
  "e_tot_ev_per_atom": -4.177
}


# 3
{
  "formula": "Ho3TmBi4",
  "functional": "PBE-GGA",
  "state": "relaxed",
  "lattice": [[8.9002, 0.0000, 0.0000], [0.0000, 12.5847, 0.0000], [0.0000, 0.0000, 4.4536]],
  "species": ["Ho", "Ho", "Ho", "Ho", "Ho", "Ho", "Tm", "Tm", "Bi", "Bi", "Bi", "Bi", "Bi", "Bi", "Bi", "Bi"],
  "fractional_positions": [[0.0000, 0.0000, 0.0000], [0.2500, 0.2500, 0.5000], [0.2500, 0.7500, 0.5000], [0.5000, 0.5000, 0.0000], [0.7500, 0.2500, 0.5000], [0.7500, 0.7500, 0.5000], [0.0000, 0.5000, 0.0000], [0.5000, 0.0000, 0.0000], [0.0000, 0.2508, 0.0000], [0.0000, 0.7492, 0.0000], [0.2486, 0.5000, 0.5000], [0.2514, 0.0000, 0.5000], [0.5000, 0.2492, 0.0000], [0.5000, 0.7508, 0.0000], [0.7486, 0.0000, 0.5000], [0.7514, 0.5000, 0.5000]],
  "spacegroup": "Cmmm (65)",
  "total_magnetization_mub_per_atom": 0.00,
  "de_polymorph_kj_per_mol_atoms": 0.5,
  "e_tot_ev_per_atom": -5.038,
  "formation_energy_ev_per_atom": -0.822
}


# 4
{
  "formula": "PuScAlTl",
  "functional": "PBE-GGA",
  "state": "relaxed",
  "lattice": [[7.2447, 0.0000, 0.0000], [0.0000, 7.2447, 0.0000], [0.0000, 0.0000, 7.2447]],
  "species": ["Pu", "Pu", "Pu", "Pu", "Sc", "Sc", "Sc", "Sc", "Al", "Al", "Al", "Al", "Tl", "Tl", "Tl", "Tl"],
  "fractional_positions": [[0.0000, 0.0000, 0.0000], [0.0000, 0.5000, 0.5000], [0.5000, 0.0000, 0.5000], [0.5000, 0.5000, 0.0000], [0.0000, 0.0000, 0.5000], [0.0000, 0.5000, 0.0000], [0.5000, 0.0000, 0.0000], [0.5000, 0.5000, 0.5000], [0.2500, 0.2500, 0.7500], [0.2500, 0.7500, 0.2500], [0.7500, 0.2500, 0.2500], [0.7500, 0.7500, 0.7500], [0.2500, 0.2500, 0.2500], [0.2500, 0.7500, 0.7500], [0.7500, 0.2500, 0.7500], [0.7500, 0.7500, 0.2500]],
  "spacegroup": "F-43m (216)",
  "total_magnetization_mub_per_atom": 1.46,
  "e_tot_ev_per_atom": -6.822,
  "formation_energy_ev_per_atom": -0.129
}


# 5
{
  "formula": "PaCuBiPd",
  "functional": "PBE-GGA",
  "state": "relaxed",
  "lattice": [[6.9233, 0.0000, 0.0000], [0.0000, 6.9233, 0.0000], [0.0000, 0.0000, 6.9233]],
  "species": ["Pa", "Pa", "Pa", "Pa", "Cu", "Cu", "Cu", "Cu", "Bi", "Bi", "Bi", "Bi", "Pd", "Pd", "Pd", "Pd"],
  "fractional_positions": [[0.0000, 0.0000, 0.0000], [0.0000, 0.5000, 0.5000], [0.5000, 0.0000, 0.5000], [0.5000, 0.5000, 0.0000], [0.2500, 0.2500, 0.7500], [0.2500, 0.7500, 0.2500], [0.7500, 0.2500, 0.2500], [0.7500, 0.7500, 0.7500], [0.0000, 0.0000, 0.5000], [0.0000, 0.5000, 0.0000], [0.5000, 0.0000, 0.0000], [0.5000, 0.5000, 0.5000], [0.2500, 0.2500, 0.2500], [0.2500, 0.7500, 0.7500], [0.7500, 0.2500, 0.7500], [0.7500, 0.7500, 0.2500]],
  "spacegroup": "F-43m (216)",
  "total_magnetization_mub_per_atom": 0.01,
  "e_tot_ev_per_atom": -5.886,
  "formation_energy_ev_per_atom": -0.220
}


# 6
{
  "formula": "RbHoMnBr6",
  "functional": "PBE-GGA",
  "state": "relaxed",
  "lattice": [[6.8735, 0.0000, 0.0000], [-3.4368, 5.9527, 0.0000], [0.0000, 0.0000, 15.7823]],
  "species": ["Rb", "Rb", "Ho", "Ho", "Mn", "Mn", "Br", "Br", "Br", "Br", "Br", "Br", "Br", "Br", "Br", "Br", "Br", "Br"],
  "fractional_positions": [[0.0000, 0.0000, 0.0000], [0.0000, 0.0000, 0.5000], [0.3333, 0.6667, 0.2500], [0.6667, 0.3333, 0.7500], [0.3333, 0.6667, 0.7500], [0.6667, 0.3333, 0.2500], [0.0292, 0.3806, 0.6536], [0.0292, 0.6486, 0.8464], [0.3514, 0.3806, 0.8464], [0.3514, 0.9708, 0.6536], [0.3806, 0.0292, 0.1536], [0.3806, 0.3514, 0.3464], [0.6194, 0.6486, 0.6536], [0.6194, 0.9708, 0.8464], [0.6486, 0.0292, 0.3464], [0.6486, 0.6194, 0.1536], [0.9708, 0.3514, 0.1536], [0.9708, 0.6194, 0.3464]],
  "spacegroup": "P-31c (163)",
  "total_magnetization_mub_per_atom": 0.10,
  "formation_energy_uncorrected_kj_per_mol_fu": -1069,
  "e_tot_ev_per_atom": -3.982
}